# 1
Compound: Cd2InRh2
Source: Alexandria via LeMat-Bulk
Functional: SCAN
Structure: PBEsol geometry

Summary:
**Total DFT energy (no corrections)**: -32.587 eV per atom
**Magnetization**: 0.0 μB/cell

Structure (CIF):
```
data_Cd2InRh2
_cell_length_a 6.6761
_cell_length_b 6.6761
_cell_length_c 4.0463
_cell_angle_alpha 90.00
_cell_angle_beta 90.00
_cell_angle_gamma 90.00
_symmetry_space_group_name_H-M 'P 4/m b m'
_symmetry_Int_Tables_number 127
_symmetry_space_group_name_Hall '-P 4 2ab'
loop_
_atom_site_label
_atom_site_type_symbol
_atom_site_fract_x
_atom_site_fract_y
_atom_site_fract_z
_atom_site_occupancy
Cd1 Cd 0.1598 0.3402 0.0000 1
In1 In 0.0000 0.0000 0.5000 1
Rh1 Rh 0.1374 0.6374 0.5000 1
```

=====

# 2
Compound: CdInRu2
Source: Alexandria via LeMat-Bulk
Functional: SCAN
Structure: PBEsol geometry

Summary:
**Total DFT energy (no corrections)**: -33.234 eV per atom
**Magnetization**: 0.0 μB/cell

Structure (CIF):
```
data_CdInRu2
_cell_length_a 2.8607
_cell_length_b 2.8607
_cell_length_c 8.2492
_cell_angle_alpha 90.00
_cell_angle_beta 90.00
_cell_angle_gamma 90.00
_symmetry_space_group_name_H-M 'P 4 m m'
_symmetry_Int_Tables_number 99
_symmetry_space_group_name_Hall 'P 4 -2'
loop_
_atom_site_label
_atom_site_type_symbol
_atom_site_fract_x
_atom_site_fract_y
_atom_site_fract_z
_atom_site_occupancy
Cd1 Cd 0.0000 0.0000 0.0000 1
In1 In 0.5000 0.5000 0.3182 1
Ru1 Ru 0.0000 0.0000 0.5636 1
Ru2 Ru 0.5000 0.5000 0.7525 1
```

=====

# 3
Compound: Cd2InSnRu
Source: Alexandria via LeMat-Bulk
Functional: SCAN
Structure: PBEsol geometry

Summary:
**Total DFT energy (no corrections)**: -31.969 eV per atom
**Magnetization**: 1.5 μB/cell

Structure (CIF):
```
data_Cd2InSnRu
_cell_length_a 5.1300
_cell_length_b 5.1300
_cell_length_c 4.9905
_cell_angle_alpha 90.00
_cell_angle_beta 90.00
_cell_angle_gamma 90.00
_symmetry_space_group_name_H-M 'P 4/m m m'
_symmetry_Int_Tables_number 123
_symmetry_space_group_name_Hall '-P 4 2'
loop_
_atom_site_label
_atom_site_type_symbol
_atom_site_fract_x
_atom_site_fract_y
_atom_site_fract_z
_atom_site_occupancy
Cd1 Cd 0.0000 0.5000 0.0000 1
In1 In 0.0000 0.0000 0.0000 1
Sn1 Sn 0.5000 0.5000 0.5000 1
Ru1 Ru 0.0000 0.0000 0.5000 1
```

=====

# 4
Compound: CdInTe2S
Source: Alexandria via LeMat-Bulk
Functional: SCAN
Structure: PBEsol geometry

Summary:
**Total DFT energy (no corrections)**: -29.207 eV per atom
**Magnetization**: 0.0 μB/cell
**E_form (uncorrected)**: 1.9 eV per formula unit

Structure (CIF):
```
data_CdInTe2S
_cell_length_a 5.6546
_cell_length_b 5.6546
_cell_length_c 4.8193
_cell_angle_alpha 90.00
_cell_angle_beta 90.00
_cell_angle_gamma 90.00
_symmetry_space_group_name_H-M 'P 4/m m m'
_symmetry_Int_Tables_number 123
_symmetry_space_group_name_Hall '-P 4 2'
loop_
_atom_site_label
_atom_site_type_symbol
_atom_site_fract_x
_atom_site_fract_y
_atom_site_fract_z
_atom_site_occupancy
Cd1 Cd 0.0000 0.0000 0.0000 1
In1 In 0.5000 0.5000 0.5000 1
Te1 Te 0.0000 0.5000 0.5000 1
S1 S 0.5000 0.5000 0.0000 1
```

=====

# 5
Compound: Sc2Cd2In
Source: Alexandria via LeMat-Bulk
Functional: SCAN
Structure: PBEsol geometry

Summary:
**Total DFT energy (no corrections)**: -24.490 eV per atom
**Magnetization**: 2.1 μB/cell

Structure (CIF):
```
data_Sc2Cd2In
_cell_length_a 4.3643
_cell_length_b 4.3643
_cell_length_c 12.7078
_cell_angle_alpha 90.00
_cell_angle_beta 90.00
_cell_angle_gamma 90.00
_symmetry_space_group_name_H-M 'I 4/m m m'
_symmetry_Int_Tables_number 139
_symmetry_space_group_name_Hall '-I 4 2'
loop_
_atom_site_label
_atom_site_type_symbol
_atom_site_fract_x
_atom_site_fract_y
_atom_site_fract_z
_atom_site_occupancy
Sc1 Sc 0.0000 0.5000 0.2500 1
Cd1 Cd 0.0000 0.0000 0.1021 1
In1 In 0.0000 0.0000 0.5000 1
```

=====

# 6
Compound: Sc2CdIn
Source: Alexandria via LeMat-Bulk
Functional: SCAN
Structure: PBEsol geometry

Summary:
**Total DFT energy (no corrections)**: -23.596 eV per atom
**Excess energy over the best structure of this formula in the dataset**: 0.000 eV/atom
**Magnetization**: 1.2 μB/cell

Structure (CIF):
```
data_Sc2CdIn
_cell_length_a 6.9803
_cell_length_b 6.9803
_cell_length_c 6.9803
_cell_angle_alpha 90.00
_cell_angle_beta 90.00
_cell_angle_gamma 90.00
_symmetry_space_group_name_H-M 'F m -3 m'
_symmetry_Int_Tables_number 225
_symmetry_space_group_name_Hall '-F 4 2 3'
loop_
_atom_site_label
_atom_site_type_symbol
_atom_site_fract_x
_atom_site_fract_y
_atom_site_fract_z
_atom_site_occupancy
Sc1 Sc 0.2500 0.2500 0.2500 1
Cd1 Cd 0.0000 0.0000 0.0000 1
In1 In 0.0000 0.0000 0.5000 1
```

=====

# 7
Compound: ScCdIn2
Source: Alexandria via LeMat-Bulk
Functional: SCAN
Structure: PBEsol geometry

Summary:
**Total DFT energy (no corrections)**: -28.147 eV per atom
**Magnetization**: 0.0 μB/cell

Structure (CIF):
```
data_ScCdIn2
_cell_length_a 4.3415
_cell_length_b 4.3415
_cell_length_c 9.2747
_cell_angle_alpha 90.00
_cell_angle_beta 90.00
_cell_angle_gamma 90.00
_symmetry_space_group_name_H-M 'I 4/m m m'
_symmetry_Int_Tables_number 139
_symmetry_space_group_name_Hall '-I 4 2'
loop_
_atom_site_label
_atom_site_type_symbol
_atom_site_fract_x
_atom_site_fract_y
_atom_site_fract_z
_atom_site_occupancy
Sc1 Sc 0.0000 0.0000 0.0000 1
Cd1 Cd 0.0000 0.0000 0.5000 1
In1 In 0.0000 0.5000 0.2500 1
```

=====

# 8
Compound: Sc2CdIn
Source: Alexandria via LeMat-Bulk
Functional: SCAN
Structure: PBEsol geometry

Summary:
**Total DFT energy (no corrections)**: -23.592 eV per atom
**Excess energy over the best structure of this formula in the dataset**: 0.004 eV/atom
**Magnetization**: 0.2 μB/cell

Structure (CIF):
```
data_Sc2CdIn
_cell_length_a 3.5035
_cell_length_b 4.9277
_cell_length_c 4.9276
_cell_angle_alpha 90.00
_cell_angle_beta 90.00
_cell_angle_gamma 90.00
_symmetry_space_group_name_H-M 'P m m 2'
_symmetry_Int_Tables_number 25
_symmetry_space_group_name_Hall 'P 2 -2'
loop_
_atom_site_label
_atom_site_type_symbol
_atom_site_fract_x
_atom_site_fract_y
_atom_site_fract_z
_atom_site_occupancy
Sc1 Sc 0.0000 0.0000 0.0000 1
Sc2 Sc 0.0000 0.5000 0.4991 1
Cd1 Cd 0.5000 0.5000 0.9991 1
In1 In 0.5000 0.0000 0.5001 1
```

=====

# 9
Compound: Sc2CdIn
Source: Alexandria via LeMat-Bulk
Functional: SCAN
Structure: PBEsol geometry

Summary:
**Total DFT energy (no corrections)**: -23.459 eV per atom
**Excess energy over the best structure of this formula in the dataset**: 0.137 eV/atom
**Magnetization**: 0.0 μB/cell

Structure (CIF):
```
data_Sc2CdIn
_cell_length_a 3.4450
_cell_length_b 4.9050
_cell_length_c 10.2669
_cell_angle_alpha 90.00
_cell_angle_beta 90.00
_cell_angle_gamma 90.00
_symmetry_space_group_name_H-M 'I m m 2'
_symmetry_Int_Tables_number 44
_symmetry_space_group_name_Hall 'I 2 -2'
loop_
_atom_site_label
_atom_site_type_symbol
_atom_site_fract_x
_atom_site_fract_y
_atom_site_fract_z
_atom_site_occupancy
Sc1 Sc 0.0000 0.0000 0.0000 1
Sc2 Sc 0.0000 0.5000 0.2402 1
Cd1 Cd 0.0000 0.5000 0.7506 1
In1 In 0.0000 0.0000 0.4786 1
```

=====

# 10
Compound: ScCdIn
Source: Alexandria via LeMat-Bulk
Functional: SCAN
Structure: PBEsol geometry

Summary:
**Total DFT energy (no corrections)**: -26.164 eV per atom
**Magnetization**: 0.0 μB/cell

Structure (CIF):
```
data_ScCdIn
_cell_length_a 3.2886
_cell_length_b 3.2886
_cell_length_c 7.2231
_cell_angle_alpha 90.00
_cell_angle_beta 90.00
_cell_angle_gamma 120.00
_symmetry_space_group_name_H-M 'P 3 m 1'
_symmetry_Int_Tables_number 156
_symmetry_space_group_name_Hall 'P 3 -2"'
loop_
_atom_site_label
_atom_site_type_symbol
_atom_site_fract_x
_atom_site_fract_y
_atom_site_fract_z
_atom_site_occupancy
Sc1 Sc 0.0000 0.0000 0.0000 1
Cd1 Cd 0.3333 0.6667 0.6711 1
In1 In 0.6667 0.3333 0.3341 1
```

=====

# 11
Compound: ScCdIn2
Source: Alexandria via LeMat-Bulk
Functional: SCAN
Structure: PBEsol geometry

Summary:
**Total DFT energy (no corrections)**: -28.083 eV per atom
**Magnetization**: 0.0 μB/cell

Structure (CIF):
```
data_ScCdIn2
_cell_length_a 3.2828
_cell_length_b 4.3309
_cell_length_c 6.2391
_cell_angle_alpha 90.00
_cell_angle_beta 90.00
_cell_angle_gamma 90.00
_symmetry_space_group_name_H-M 'P m m m'
_symmetry_Int_Tables_number 47
_symmetry_space_group_name_Hall '-P 2 2'
loop_
_atom_site_label
_atom_site_type_symbol
_atom_site_fract_x
_atom_site_fract_y
_atom_site_fract_z
_atom_site_occupancy
Sc1 Sc 0.0000 0.0000 0.0000 1
Cd1 Cd 0.0000 0.0000 0.5000 1
In1 In 0.5000 0.5000 0.2455 1
```

=====

# 12
Compound: ScCdIn2
Source: Alexandria via LeMat-Bulk
Functional: SCAN
Structure: PBEsol geometry

Summary:
**Total DFT energy (no corrections)**: -28.177 eV per atom
**Magnetization**: 0.0 μB/cell

Structure (CIF):
```
data_ScCdIn2
_cell_length_a 4.3077
_cell_length_b 4.3077
_cell_length_c 9.3660
_cell_angle_alpha 90.00
_cell_angle_beta 90.00
_cell_angle_gamma 90.00
_symmetry_space_group_name_H-M 'I -4 m 2'
_symmetry_Int_Tables_number 119
_symmetry_space_group_name_Hall 'I -4 -2'
loop_
_atom_site_label
_atom_site_type_symbol
_atom_site_fract_x
_atom_site_fract_y
_atom_site_fract_z
_atom_site_occupancy
Sc1 Sc 0.0000 0.0000 0.0000 1
Cd1 Cd 0.0000 0.5000 0.2500 1
In1 In 0.0000 0.0000 0.5000 1
In2 In 0.0000 0.5000 0.7500 1
```